# 1
The following is a DFT calculation (PBE-GGA) of SiBiN2F after structural relaxation.

```
data_SiBiN2F
_chemical_formula_sum 'Si1 Bi1 N2 F1'
_cell_length_a 3.8220
_cell_length_b 3.8220
_cell_length_c 3.7333
_cell_angle_alpha 90.00
_cell_angle_beta 90.00
_cell_angle_gamma 90.00
_symmetry_space_group_name_H-M 'P 4/m m m'
_symmetry_Int_Tables_number 123
_symmetry_space_group_name_Hall '-P 4 2'
loop_
_atom_site_label
_atom_site_type_symbol
_atom_site_fract_x
_atom_site_fract_y
_atom_site_fract_z
_atom_site_occupancy
Si1 Si 0.0000 0.0000 0.0000 1
Bi1 Bi 0.5000 0.5000 0.5000 1
N1 N 0.0000 0.5000 0.0000 1
F1 F 0.0000 0.0000 0.5000 1
```

The relative energy among the computed polymorphs comes out at 0.0000 eV/atom. The uncorrected formation energy is -33.84 kJ/mol of atoms. The electronic total energy comes out at -0.2174 hartree per atom.



# 2
The following is a DFT calculation (PBE-GGA) of LiSbTeO6 after structural relaxation.

```
data_LiSbTeO6
_chemical_formula_sum 'Li2 Sb2 Te2 O12'
_cell_length_a 5.2427
_cell_length_b 5.2427
_cell_length_c 9.6958
_cell_angle_alpha 90.00
_cell_angle_beta 90.00
_cell_angle_gamma 120.00
_symmetry_space_group_name_H-M 'P -3 1 c'
_symmetry_Int_Tables_number 163
_symmetry_space_group_name_Hall '-P 3 2c'
loop_
_atom_site_label
_atom_site_type_symbol
_atom_site_fract_x
_atom_site_fract_y
_atom_site_fract_z
_atom_site_occupancy
Li1 Li 0.0000 0.0000 0.0000 1
Sb1 Sb 0.3333 0.6667 0.2500 1
Te1 Te 0.3333 0.6667 0.7500 1
O1 O 0.0084 0.3703 0.6374 1
```

The uncorrected formation energy is -128.22 kJ/mol of atoms. The electronic total energy comes out at -0.2078 hartree per atom.



no.,DOS at the Fermi energy (states/eV/atom),V (A^3/atom)
1,0.10,10.91
2,0.00,12.82